Entry from Alexandria: an optimized crystal structure of Tb2Nd2Dy (PBE-GGA).

a b c (Å): 9.261 9.261 6.400
angles (deg): 122.88 122.88 91.03
Fractional positions:
Dy 0.934 0.066 0.750
Dy 0.066 0.934 0.250
Tb 0.804 0.196 0.250
Tb 0.682 0.318 0.750
Tb 0.318 0.682 0.250
Tb 0.196 0.804 0.750
Nd 0.739 0.615 0.439
Nd 0.385 0.261 0.061
Nd 0.261 0.385 0.561
Nd 0.615 0.739 0.939

Computed properties:
energy: -4.41 eV per atom
relative energy among the computed polymorphs: 23.7 kJ/mol of atoms
total moment: 0.00 Bohr magnetons per cell
volume: 347.0 Å³ per cell


Entry from Alexandria: an optimized crystal structure of Tb2NdDy6 (PBE-GGA).

a b c (Å): 3.449 6.009 17.348
angles (deg): 116.25 84.30 73.32
Fractional positions:
Nd 0.500 0.500 0.500
Tb 0.168 0.498 0.166
Tb 0.832 0.502 0.834
Dy 0.226 0.815 0.732
Dy 0.101 0.192 0.605
Dy 0.774 0.185 0.268
Dy 0.899 0.808 0.395
Dy 0.564 0.809 0.062
Dy 0.436 0.191 0.938

Computed properties:
energy: -4.43 eV per atom
relative energy among the computed polymorphs: 17.5 kJ/mol of atoms
total moment: 0.00 Bohr magnetons per cell
volume: 298.0 Å³ per cell


Entry from Alexandria: an optimized crystal structure of TbNd4Dy6 (PBE-GGA).

a b c (Å): 7.695 7.695 8.542
angles (deg): 116.77 116.77 90.00
Fractional positions:
Nd 0.252 0.252 0.153
Nd 0.902 0.902 0.153
Nd 0.748 0.098 0.847
Nd 0.098 0.748 0.847
Dy 0.925 0.444 0.368
Dy 0.500 0.000 0.000
Dy 0.556 0.556 0.632
Dy 0.000 0.500 0.000
Dy 0.075 0.075 0.632
Dy 0.444 0.925 0.368
Tb 0.500 0.500 0.000

Computed properties:
energy: -4.22 eV per atom
relative energy among the computed polymorphs: 13.9 kJ/mol of atoms
total moment: 0.00 Bohr magnetons per cell
volume: 389.9 Å³ per cell


Entry from Alexandria: an optimized crystal structure of TbNd2Dy (PBE-GGA).

a b c (Å): 5.749 5.749 5.749
angles (deg): 60.00 60.00 60.00
Fractional positions:
Nd 0.750 0.750 0.750
Nd 0.250 0.250 0.250
Dy 0.500 0.500 0.500
Tb 0.000 0.000 0.000

Computed properties:
energy: -4.57 eV per atom
relative energy among the computed polymorphs: 10.5 kJ/mol of atoms
total moment: 0.00 Bohr magnetons per cell
volume: 134.3 Å³ per cell